# GdRe, relaxed, DFT PBE
# Excess energy over the best structure of this formula in the dataset (eV/atom): 0.5989
# Size of the total moment (μB/f.u.): 1.85
# Calculated volume (Å³/cell): 192.1
# Mass density (g/cm3): 11.87
# Formation energy (meV per atom): 1437
data_GdRe
_chemical_formula_sum 'Gd4 Re4'
_symmetry_space_group_name_H-M 'F m -3 m'
_symmetry_Int_Tables_number 225
_symmetry_space_group_name_Hall '-F 4 2 3'
_cell_length_a 5.770
_cell_length_b 5.770
_cell_length_c 5.770
_cell_angle_alpha 90.00
_cell_angle_beta 90.00
_cell_angle_gamma 90.00
loop_
_atom_site_label
_atom_site_type_symbol
_atom_site_fract_x
_atom_site_fract_y
_atom_site_fract_z
Gd1 Gd 0.000 0.000 0.000
Re1 Re 0.000 0.000 0.500